# 1
A geometry-optimized Mn2SiNi structure. Source: Alexandria, functional PBE.

Structure (POSCAR):
```
Mn2SiNi
1.0
-2.481 4.960 -3.364
-5.991 -1.963 1.524
-4.180 2.904 1.112
Ni Si Mn
2 2 4
Cartesian
0.000 0.000 0.000 Ni
-5.449 4.681 -1.586 Ni
-4.236 1.498 -0.920 Si
-7.204 1.220 0.858 Si
-3.340 3.570 -1.627 Mn
-5.105 0.129 0.803 Mn
-6.325 3.298 0.147 Mn
-10.536 4.804 -0.779 Mn
```

Properties
Uncorrected formation energy = 22.3 kJ per mole of atoms


# 2
A geometry-optimized ScGaNi2C structure. Source: Alexandria, functional PBE.

Structure (POSCAR):
```
ScGaNi2C
1.0
-4.380 -0.382 0.398
-0.130 -1.960 -3.320
0.531 -3.783 2.213
Sc Ni C Ga
1 2 1 1
Cartesian
-1.990 -3.063 -0.355 Sc
0.265 -1.892 1.106 Ni
-2.190 -0.191 0.199 Ni
-0.065 -0.980 -1.660 C
0.000 0.000 0.000 Ga
```

Properties
Formation energy from the elements = 0.821 eV per atom


# 3
A geometry-optimized Sm6HgAu2 structure. Source: Alexandria, functional PBE.

Structure (POSCAR):
```
Sm6HgAu2
1.0
-2.325 -4.229 1.746
5.387 -1.008 4.730
-5.287 6.820 1.935
Sm Hg Au
6 1 2
Cartesian
0.098 1.169 2.960 Sm
-4.965 0.909 3.131 Sm
-2.323 0.415 5.451 Sm
0.232 -2.375 2.098 Sm
2.740 0.674 5.280 Sm
2.830 -2.862 4.379 Sm
0.000 0.000 0.000 Hg
0.276 -1.214 4.967 Au
-2.501 2.797 3.444 Au
```

Properties
Formation energy from the elements = -0.285 eV per atom


# 4
A geometry-optimized Zr4Cd2O structure. Source: Alexandria, functional PBE.

Structure (POSCAR):
```
Zr4Cd2O
1.0
-1.902 2.102 -1.265
-3.933 -1.975 2.631
3.950 7.512 6.546
Zr Cd O
4 2 1
Cartesian
-2.616 1.054 1.877 Zr
-1.167 1.642 4.483 Zr
0.731 6.585 6.035 Zr
1.184 3.895 4.694 Zr
-0.322 3.121 1.861 Cd
-1.563 4.519 6.051 Cd
-1.966 -0.987 1.315 O
```

Properties
Offset from the most stable computed form = 1.16 eV per formula unit
Uncorrected formation energy = -43.5 kJ per mole of atoms


# 5
A geometry-optimized Ba2LiInCl structure. Source: Alexandria, functional PBE.

Structure (POSCAR):
```
Ba2LiInCl
1.0
6.259 0.000 0.000
0.000 6.259 0.000
0.000 0.000 4.625
Cl Li Ba In
1 1 2 1
Cartesian
0.000 0.000 0.000 Cl
0.000 0.000 2.313 Li
0.000 3.130 0.000 Ba
3.130 0.000 0.000 Ba
3.130 3.130 2.313 In
```

Properties
Uncorrected formation energy = -79.7 kJ per mole of atoms


# 6
A geometry-optimized KRbNaCd structure. Source: Alexandria, functional PBE.

Structure (POSCAR):
```
KRbNaCd
1.0
5.682 0.013 0.006
-2.796 4.946 -0.006
-2.831 -1.672 7.340
K Rb Na Cd
1 1 1 1
Cartesian
0.824 2.840 6.155 K
0.764 -0.445 3.234 Rb
0.797 2.856 0.837 Na
3.629 1.208 0.765 Cd
```

Properties
Offset from the most stable computed form = 0.00 eV per formula unit
Formation energy from the elements = 0.010 eV per atom


# 7
A geometry-optimized CuRu2Rh structure. Source: Alexandria, functional PBE.

Structure (POSCAR):
```
CuRu2Rh
1.0
4.665 0.001 0.002
3.887 2.579 0.002
0.768 0.232 4.548
Cu Rh Ru
1 1 2
Cartesian
6.990 2.109 3.414 Cu
2.330 0.703 1.138 Rh
9.290 2.803 4.537 Ru
4.690 1.415 2.290 Ru
```

Properties
Offset from the most stable computed form = 0.26 eV per formula unit
Formation energy from the elements = 0.185 eV per atom


# 8
A geometry-optimized Pa2TcPd structure. Source: Alexandria, functional PBE.

Structure (POSCAR):
```
Pa2TcPd
1.0
4.901 0.000 0.000
2.450 4.244 0.000
2.450 1.415 4.001
Pa Tc Pd
2 1 1
Cartesian
2.450 1.415 1.000 Pa
7.351 4.244 3.001 Pa
0.000 0.000 0.000 Tc
4.901 2.829 2.001 Pd
```

Properties
Offset from the most stable computed form = 0.19 eV per formula unit
Formation energy from the elements = -0.245 eV per atom